(1)
A relaxed structure of Ti2IrRh. Source: Alexandria, functional PBE.

Results
**Total magnetic moment**: 0.0 μB per formula unit
**ΔH_f (0 K)**: -0.308 eV per atom
**VASP energy**: -33.236 eV/f.u.

Lattice parameters (Å, degrees): 6.822 6.822 5.608 90.00 90.00 90.00
Space group I-42d (No. 122)
Symmetry-distinct sites (fractional):
Ti 0.249 0.250 0.125 (multiplicity 8)
Ir 0.000 0.000 0.500 (multiplicity 4)
Rh 0.000 0.000 0.000 (multiplicity 4)

***

(2)
A relaxed structure of Ti2IrRh. Source: Alexandria, functional PBE.

Results
**Total magnetic moment**: 0.0 μB per formula unit
**ΔH_f (0 K)**: -0.806 eV per atom
**VASP energy**: -35.227 eV/f.u.

Lattice parameters (Å, degrees): 5.897 6.905 2.952 90.00 90.00 90.00
Space group Cmmm (No. 65)
Symmetry-distinct sites (fractional):
Ti 0.250 0.250 0.000 (multiplicity 4)
Ir 0.000 0.000 0.500 (multiplicity 2)
Rh 0.000 0.500 0.500 (multiplicity 2)

***

(3)
A relaxed structure of Ti7Ir2Rh2. Source: Alexandria, functional PBE.

Results
**Total magnetic moment**: 0.0 μB per formula unit
**ΔH_f (0 K)**: -0.238 eV per atom
**VASP energy**: -90.309 eV/f.u.

Lattice parameters (Å, degrees): 6.802 9.076 6.355 90.00 90.00 90.00
Space group Cmmm (No. 65)
Symmetry-distinct sites (fractional):
Ti 0.000 0.000 0.000 (multiplicity 2)
Ti 0.000 0.500 0.269 (multiplicity 4)
Ti 0.250 0.250 0.279 (multiplicity 8)
Ir 0.191 0.000 0.500 (multiplicity 4)
Rh 0.000 0.288 0.000 (multiplicity 4)

***

(4)
A relaxed structure of Ti4Ir5Rh2. Source: Alexandria, functional PBE.

Results
**Total magnetic moment**: 0.0 μB per formula unit
**ΔH_f (0 K)**: -0.125 eV per atom
**VASP energy**: -91.962 eV/f.u.

Lattice parameters (Å, degrees): 5.416 9.547 16.272 90.00 90.00 90.00
Space group Fmmm (No. 69)
Symmetry-distinct sites (fractional):
Ti 0.000 0.160 0.126 (multiplicity 16)
Ir 0.000 0.000 0.000 (multiplicity 4)
Ir 0.250 0.250 0.000 (multiplicity 8)
Ir 0.250 0.250 0.250 (multiplicity 8)
Rh 0.000 0.000 0.246 (multiplicity 8)

***

Repeat the third record exactly.
A relaxed structure of Ti7Ir2Rh2. Source: Alexandria, functional PBE.

Results
**Total magnetic moment**: 0.0 μB per formula unit
**ΔH_f (0 K)**: -0.238 eV per atom
**VASP energy**: -90.309 eV/f.u.

Lattice parameters (Å, degrees): 6.802 9.076 6.355 90.00 90.00 90.00
Space group Cmmm (No. 65)
Symmetry-distinct sites (fractional):
Ti 0.000 0.000 0.000 (multiplicity 2)
Ti 0.000 0.500 0.269 (multiplicity 4)
Ti 0.250 0.250 0.279 (multiplicity 8)
Ir 0.191 0.000 0.500 (multiplicity 4)
Rh 0.000 0.288 0.000 (multiplicity 4)